[1]
VASP calculation (PBE) on crystalline ScTl2CuF6 at its relaxed geometry.

The value obtained for the total magnetization is 0.00 Bohr magnetons per cell.

The structure belongs to space group Fm-3m (No. 225); the cell edges are 8.286, 8.286 and 8.286 Å and the angles 90.00°, 90.00° and 90.00°. The inequivalent atoms are Sc at (0.000, 0.000, 0.000), Tl at (0.250, 0.250, 0.250), Cu at (0.000, 0.000, 0.500) and F at (0.000, 0.000, 0.242).

=====

[2]
VASP calculation (PBE) on crystalline CuSe2F6 at its relaxed geometry.

The structure belongs to space group P-1 (No. 2); the cell edges are 4.185, 4.686 and 6.295 Å and the angles 91.54°, 92.36° and 96.59°. The inequivalent atoms are Cu at (0.000, 0.000, 0.000), Se at (0.364, 0.345, 0.195), F at (0.070, 0.612, 0.218), F at (0.301, 0.258, 0.460) and F at (0.346, 0.965, 0.803).

=====

[3]
VASP calculation (PBE) on crystalline Cu2SeF2 at its relaxed geometry.

The structure belongs to space group Ibam (No. 72); the cell edges are 5.329, 9.880 and 5.310 Å and the angles 90.00°, 90.00° and 90.00°. The inequivalent atoms are Cu at (0.235, 0.132, 0.000), Se at (0.000, 0.500, 0.250) and F at (0.119, 0.174, 0.500).

=====

[4]
VASP calculation (PBE) on crystalline Cu2Se4F at its relaxed geometry.

The structure belongs to space group P4/mmm (No. 123); the cell edges are 4.358, 4.358 and 6.146 Å and the angles 90.00°, 90.00° and 90.00°. The inequivalent atoms are Cu at (0.000, 0.000, 0.000), Cu at (0.500, 0.500, 0.500), Se at (0.000, 0.500, 0.243) and F at (0.000, 0.000, 0.500).

=====

[5]
VASP calculation (PBE) on crystalline CuSnSeF at its relaxed geometry.

The structure belongs to space group P4/nmm (No. 129, origin choice 2); the cell edges are 3.973, 3.973 and 8.892 Å and the angles 90.00°, 90.00° and 90.00°. The inequivalent atoms are Cu at (0.250, 0.750, 0.000), Sn at (0.250, 0.250, 0.330), Se at (0.250, 0.250, 0.826) and F at (0.250, 0.750, 0.500).

=====

[6]
VASP calculation (PBE) on crystalline CuSn2Te2F2 at its relaxed geometry.

The structure belongs to space group P-4m2 (No. 115); the cell edges are 4.024, 4.024 and 9.344 Å and the angles 90.00°, 90.00° and 90.00°. The inequivalent atoms are Cu at (0.000, 0.000, 0.000), Sn at (0.000, 0.500, 0.338), Te at (0.000, 0.500, 0.829), F at (0.000, 0.000, 0.500) and F at (0.500, 0.500, 0.500).

=====

| no. | final energy (eV/atom) |
| --- | --- |
| 1 | -5.021 |
| 2 | -3.700 |
| 3 | -3.777 |
| 4 | -3.316 |
| 5 | -4.213 |
| 6 | -4.062 |